Entry 1:
A relaxed KTlI2Cl crystal. Source: the Alexandria database, functional PBE.

abc: 6.2050 6.2050 5.5920
angles: 90.00 90.00 90.00
With the nearest neighbours (Å) after each atom.
Atoms (fractional coordinates):
K (0.5000, 0.5000, 0.5000)  8 I 4.18, 4 Cl 4.39
I (0.5000, 0.0000, 0.0000)  2 Tl 3.10
I (0.0000, 0.5000, 0.0000)  2 Tl 3.10
Tl (0.0000, 0.0000, 0.0000)  2 Cl 2.80, 4 I 3.10
Cl (0.0000, 0.0000, 0.5000)  2 Tl 2.80

Summary:
- Formation energy without anion corrections: -891 meV/atom
- D(E_F): 1.6 states/eV/f.u.

=====

Entry 2:
A relaxed Cd3Ga4 crystal. Source: the Alexandria database, functional PBE.

abc: 3.2384 3.2384 13.9444
angles: 96.66 96.68 90.00
With the nearest neighbours (Å) after each atom.
Atoms (fractional coordinates):
Ga (0.1368, 0.1368, 0.2735)  4 Ga 2.86, 4 Cd 3.06
Ga (0.8632, 0.8632, 0.7265)  4 Ga 2.86, 4 Cd 3.06
Ga (0.4255, 0.4255, 0.8509)  4 Ga 2.86, 4 Cd 3.07
Cd (0.2895, 0.2894, 0.5789)  4 Ga 3.06, 8 Cd 3.15-3.24
Cd (0.0000, 0.0000, 0.0000)  8 Ga 3.07, 4 Cd 3.24
Cd (0.7105, 0.7106, 0.4211)  4 Ga 3.06, 8 Cd 3.15-3.24
Ga (0.5745, 0.5745, 0.1491)  4 Ga 2.86, 4 Cd 3.07

Summary:
- D(E_F): 2.1 states/eV/f.u.
- ΔE_f: 0.0361 eV per atom

=====

Entry 3:
A relaxed YTiIN2 crystal. Source: the Alexandria database, functional PBE.

abc: 4.3739 4.3739 5.8875
angles: 90.00 90.00 90.00
With the nearest neighbours (Å) after each atom.
Atoms (fractional coordinates):
N (0.5000, 0.0000, 0.0000)  2 Y 2.19
Y (0.0000, 0.0000, 0.0000)  4 N 2.19
N (0.0000, 0.5000, 0.0000)  2 Y 2.19
Ti (0.5000, 0.5000, 0.5000)  4 I 3.09
I (0.0000, 0.0000, 0.5000)  2 Y 2.94, 4 Ti 3.09

Summary:
- Formation energy without anion corrections: 892 meV/atom
- E above lowest polymorph: 0.9493 eV per atom
- D(E_F): 7.9 states/eV/f.u.

=====

Entry 4:
A relaxed CaHoMgAu crystal. Source: the Alexandria database, functional PBE.

abc: 5.2179 5.2179 5.2179
angles: 60.00 60.00 60.00
With the nearest neighbours (Å) after each atom.
Atoms (fractional coordinates):
Mg (0.5000, 0.5000, 0.5000)  4 Ca 3.20, 4 Ho 3.20
Au (0.0000, 0.0000, 0.0000)  4 Ho 3.20, 4 Ca 3.20
Ca (0.2500, 0.2500, 0.2500)  4 Au 3.20, 4 Mg 3.20
Ho (0.7500, 0.7500, 0.7500)  4 Mg 3.20, 4 Au 3.20

Summary:
- D(E_F): 3.2 states/eV/f.u.
- ΔE_f: -0.3851 eV per atom

=====

Entry 5:
A relaxed CsBF2 crystal. Source: the Alexandria database, functional PBE.

abc: 4.7254 4.7254 4.7254
angles: 60.00 60.00 60.00
With the nearest neighbours (Å) after each atom.
Atoms (fractional coordinates):
F (0.7500, 0.7500, 0.7500)  4 B 2.89, 4 Cs 2.89
Cs (0.5000, 0.5000, 0.5000)  8 F 2.89
B (0.0000, 0.0000, 0.0000)  8 F 2.89
F (0.2500, 0.2500, 0.2500)  4 Cs 2.89, 4 B 2.89

Summary:
- Formation energy without anion corrections: -536 meV/atom
- E above lowest polymorph: 0.4746 eV per atom
- D(E_F): 0.0 states/eV/f.u.

=====

Entry 6:
A relaxed Ac3Nd12Sm crystal. Source: the Alexandria database, functional PBE.

abc: 5.2811 5.2811 21.0899
angles: 90.00 90.00 90.00
With the nearest neighbours (Å) after each atom.
Atoms (fractional coordinates):
Nd (0.0000, 0.5000, 0.1207)  8 Nd 3.67-3.75, 2 Sm 3.67, 2 Ac 3.76
Sm (0.0000, 0.0000, 0.0000)  12 Nd 3.67-3.73
Nd (0.5000, 0.5000, 0.7531)  4 Ac 3.73, 8 Nd 3.75-3.76
Ac (0.0000, 0.0000, 0.2479)  12 Nd 3.73-3.76
Nd (0.5000, 0.0000, 0.3739)  8 Nd 3.73-3.76, 4 Ac 3.75
Nd (0.5000, 0.5000, 0.2469)  4 Ac 3.73, 8 Nd 3.75-3.76
Nd (0.5000, 0.0000, 0.6261)  8 Nd 3.73-3.76, 4 Ac 3.75
Nd (0.0000, 0.5000, 0.3739)  8 Nd 3.73-3.76, 4 Ac 3.75
Nd (0.5000, 0.5000, 0.0000)  8 Nd 3.67, 4 Sm 3.73
Nd (0.5000, 0.0000, 0.8793)  2 Sm 3.67, 8 Nd 3.67-3.75, 2 Ac 3.76
Nd (0.5000, 0.0000, 0.1207)  2 Sm 3.67, 8 Nd 3.67-3.75, 2 Ac 3.76
Nd (0.5000, 0.5000, 0.5000)  4 Ac 3.73, 8 Nd 3.75
Ac (0.0000, 0.0000, 0.7521)  12 Nd 3.73-3.76
Ac (0.0000, 0.0000, 0.5000)  12 Nd 3.73-3.75
Nd (0.0000, 0.5000, 0.8793)  8 Nd 3.67-3.75, 2 Sm 3.67, 2 Ac 3.76
Nd (0.0000, 0.5000, 0.6261)  8 Nd 3.73-3.76, 4 Ac 3.75

Summary:
- D(E_F): 26.5 states/eV/f.u.
- ΔE_f: 0.0217 eV per atom